The following is a DFT calculation (PBE-GGA) of a relaxed structure of NaSrV.

abc: 5.606 5.606 7.982
angles: 90.00 90.00 120.00
Fractional positions:
Na (0.000, 0.000, 0.000)
Na (0.000, 0.000, 0.500)
Sr (0.667, 0.333, 0.233)
Sr (0.667, 0.333, 0.767)
V (0.333, 0.667, 0.114)
V (0.333, 0.667, 0.886)

E_form, eV per formula unit: 2.27
Volume, Å³/atom: 36.21
Energy above the most stable polymorph in this dataset, meV per atom: 365
Symmetry: P-6m2
Electronic total energy, eV/cell: -19.69